[1]
Here is a relaxed structure of ZrAsNO from the Open Quantum Materials Database. Energies are from GGA-PBE.

Calculated values
Its offset from the most stable computed form is 33 meV/atom. The crystal system is orthorhombic. Its total DFT energy (no corrections) is -7.763 eV/atom.

a b c (Å): 3.676 5.525 6.690
angles (deg): 90.00 90.00 90.00
Sites, in units of the cell vectors:
As (0.000, 0.498, 0.357)
As (0.000, 0.998, 0.643)
N (0.000, 0.995, 0.363)
N (0.000, 0.495, 0.637)
O (0.500, 0.754, 0.003)
O (0.500, 0.254, 0.997)
Zr (0.500, 0.007, 0.210)
Zr (0.500, 0.507, 0.790)

[2]
Here is a relaxed structure of ZrAsNO from the Open Quantum Materials Database. Energies are from GGA-PBE.

Calculated values
Its offset from the most stable computed form is 395 meV/atom. The crystal system is tetragonal. Its total DFT energy (no corrections) is -7.401 eV/atom.

a b c (Å): 4.566 4.566 4.716
angles (deg): 90.00 90.00 90.00
Sites, in units of the cell vectors:
As (0.250, 0.250, 0.033)
As (0.750, 0.750, 0.967)
N (0.750, 0.750, 0.376)
N (0.250, 0.250, 0.624)
O (0.750, 0.250, 0.000)
O (0.250, 0.750, 0.000)
Zr (0.750, 0.250, 0.500)
Zr (0.250, 0.750, 0.500)

[3]
Here is a relaxed structure of ZrAsNO from the Open Quantum Materials Database. Energies are from GGA-PBE.

Calculated values
Its offset from the most stable computed form is 322 meV/atom. The crystal system is tetragonal. Its total DFT energy (no corrections) is -7.475 eV/atom.

a b c (Å): 3.442 3.442 8.484
angles (deg): 90.00 90.00 90.00
Sites, in units of the cell vectors:
As (0.750, 0.250, 0.500)
As (0.250, 0.750, 0.500)
N (0.750, 0.750, 0.254)
N (0.250, 0.250, 0.746)
O (0.750, 0.250, 0.000)
O (0.250, 0.750, 0.000)
Zr (0.250, 0.250, 0.155)
Zr (0.750, 0.750, 0.845)